First-principles (GGA-PBE) data for crystalline V2CdSb2 at its relaxed geometry, as listed in Alexandria via LeMat-Bulk.

**Crystal system**: tetragonal
**Uncorrected formation energy**: 0.083 eV/atom
**Distance to the lowest polymorph of the same formula**: 0 meV/atom

a = 7.416 Å, b = 7.416 Å, c = 3.508 Å
α = 90.00°, β = 90.00°, γ = 90.00°
Space group P4/mbm (No. 127)
Inequivalent atoms, fractional coordinates:
V (0.133, 0.367, 0.000)
Cd (0.000, 0.000, 0.000)
Sb (0.157, 0.657, 0.500)